The following is a meta-GGA SCAN calculation of a crystal of SmHSO5 relaxed with PBEsol, from the Alexandria database.

Cell and atoms, written as POSCAR:
```
SmHSO5
1.0
4.425 0.001 0.000
-1.913 6.438 0.000
0.000 0.000 12.268
O S H Sm
20 4 4 4
Direct
0.737 0.711 0.097
0.145 0.935 0.834
0.191 0.457 0.085
0.252 0.951 0.068
0.248 0.549 0.568
0.809 0.543 0.915
0.752 0.451 0.432
0.645 0.435 0.666
0.855 0.065 0.166
0.911 0.179 0.751
0.411 0.679 0.749
0.089 0.821 0.249
0.763 0.789 0.597
0.589 0.321 0.251
0.748 0.049 0.932
0.309 0.043 0.585
0.355 0.565 0.334
0.691 0.957 0.415
0.263 0.289 0.903
0.237 0.211 0.403
0.979 0.888 0.147
0.021 0.112 0.853
0.479 0.388 0.353
0.521 0.612 0.647
0.266 0.978 0.657
0.734 0.022 0.343
0.766 0.478 0.843
0.234 0.522 0.157
0.637 0.303 0.062
0.363 0.697 0.938
0.137 0.803 0.438
0.863 0.197 0.562
```

Computed properties:
calculated total energy = -0.4942 hartree per atom
space group = P2_1/c (14)

***

The following is a meta-GGA SCAN calculation of a crystal of ThH2SO6 relaxed with PBEsol, from the Alexandria database.

Cell and atoms, written as POSCAR:
```
ThH2SO6
1.0
-3.045 0.362 -5.179
-5.870 -2.232 3.296
-2.820 11.001 2.427
H O S Th
8 24 4 4
Direct
0.482 0.338 0.334
0.518 0.662 0.666
0.982 0.662 0.666
0.018 0.162 0.834
0.982 0.838 0.166
0.518 0.838 0.166
0.018 0.338 0.334
0.482 0.162 0.834
0.250 0.463 0.975
0.497 0.100 0.910
0.250 0.099 0.271
0.049 0.830 0.344
0.049 0.670 0.844
0.549 0.330 0.156
0.951 0.330 0.156
0.250 0.037 0.475
0.750 0.963 0.525
0.750 0.537 0.025
0.503 0.900 0.090
0.497 0.400 0.410
0.750 0.599 0.229
0.003 0.400 0.410
0.451 0.670 0.844
0.997 0.900 0.090
0.451 0.830 0.344
0.951 0.170 0.656
0.750 0.901 0.729
0.997 0.600 0.590
0.503 0.600 0.590
0.003 0.100 0.910
0.549 0.170 0.656
0.250 0.401 0.771
0.750 0.449 0.140
0.250 0.949 0.360
0.750 0.051 0.640
0.250 0.551 0.860
0.250 0.351 0.562
0.750 0.851 0.938
0.750 0.649 0.438
0.250 0.149 0.062
```

Computed properties:
calculated total energy = -0.6333 hartree per atom
space group = Pnma (62)

***

The following is a meta-GGA SCAN calculation of a crystal of VH10SO10 relaxed with PBEsol, from the Alexandria database.

Cell and atoms, written as POSCAR:
```
VH10SO10
1.0
6.093 0.000 0.000
0.000 7.166 0.000
0.000 0.000 9.213
O S H V
20 2 20 2
Direct
0.306 0.500 0.310
0.456 0.705 0.867
0.456 0.295 0.867
0.125 0.193 0.411
0.956 0.205 0.133
0.625 0.693 0.589
0.314 0.000 0.164
0.704 0.500 0.349
0.744 0.000 0.334
0.048 0.830 0.853
0.548 0.670 0.147
0.814 0.500 0.836
0.548 0.330 0.147
0.125 0.807 0.411
0.048 0.170 0.853
0.204 0.000 0.651
0.806 0.000 0.690
0.625 0.307 0.589
0.956 0.795 0.133
0.244 0.500 0.666
0.025 0.000 0.759
0.525 0.500 0.241
0.908 0.389 0.822
0.182 0.155 0.508
0.491 0.321 0.971
0.682 0.655 0.492
0.304 0.240 0.862
0.991 0.179 0.029
0.694 0.813 0.624
0.491 0.679 0.971
0.182 0.845 0.508
0.408 0.889 0.178
0.991 0.821 0.029
0.194 0.313 0.376
0.694 0.187 0.624
0.304 0.760 0.862
0.682 0.345 0.492
0.908 0.611 0.822
0.408 0.111 0.178
0.804 0.260 0.138
0.804 0.740 0.138
0.194 0.687 0.376
0.495 0.500 0.718
0.995 0.000 0.282
```

Computed properties:
calculated total energy = -0.2575 hartree per atom
space group = Pmn2_1 (31)
E above lowest polymorph = 0.002 eV/atom

***

The following is a meta-GGA SCAN calculation of a crystal of VH6SO8 relaxed with PBEsol, from the Alexandria database.

Cell and atoms, written as POSCAR:
```
VH6SO8
1.0
-0.423 -2.515 -7.142
-2.443 -6.580 2.462
-10.071 4.736 2.664
S V O H
4 4 32 24
Direct
0.240 0.640 0.986
0.760 0.360 0.014
0.740 0.860 0.486
0.260 0.140 0.514
0.920 0.226 0.626
0.080 0.774 0.374
0.420 0.274 0.126
0.580 0.726 0.874
0.547 0.038 0.163
0.735 0.047 0.533
0.390 0.154 0.639
0.816 0.232 0.933
0.776 0.809 0.802
0.890 0.346 0.139
0.276 0.691 0.302
0.453 0.962 0.837
0.536 0.383 0.246
0.610 0.846 0.361
0.567 0.317 0.011
0.235 0.453 0.033
0.067 0.183 0.511
0.754 0.412 0.473
0.036 0.117 0.746
0.684 0.732 0.567
0.246 0.588 0.527
0.184 0.768 0.067
0.964 0.883 0.254
0.746 0.912 0.027
0.933 0.817 0.489
0.110 0.654 0.861
0.316 0.268 0.433
0.724 0.309 0.698
0.765 0.547 0.967
0.464 0.617 0.754
0.047 0.462 0.663
0.433 0.683 0.989
0.953 0.538 0.337
0.224 0.191 0.198
0.254 0.088 0.973
0.265 0.953 0.467
0.920 0.472 0.256
0.281 0.480 0.487
0.379 0.009 0.890
0.621 0.991 0.110
0.239 0.716 0.210
0.902 0.752 0.836
0.219 0.980 0.013
0.739 0.784 0.710
0.261 0.216 0.290
0.781 0.020 0.987
0.648 0.383 0.397
0.580 0.972 0.244
0.098 0.248 0.164
0.402 0.748 0.336
0.148 0.117 0.897
0.080 0.528 0.744
0.852 0.883 0.103
0.420 0.028 0.756
0.598 0.252 0.664
0.352 0.617 0.603
0.121 0.509 0.610
0.879 0.491 0.390
0.761 0.284 0.790
0.719 0.520 0.513
```

Computed properties:
calculated total energy = -0.2789 hartree per atom
space group = P2_1/c (14)